Record 1
Y4Er5Sc | PBE | relaxed

Unit cell a=3.5131 b=9.9152 c=9.2881 alpha=105.53 beta=100.90 gamma=90.00
Element x y z (fractional)
Y 0.3008 0.9007 0.6017
Y 0.9018 0.7037 0.8036
Y 0.6992 0.0993 0.3983
Y 0.0982 0.2963 0.1964
Er 0.6996 0.6000 0.3993
Er 0.9020 0.1983 0.8039
Er 0.0980 0.8017 0.1961
Er 0.5000 0.5000 0.0000
Er 0.3004 0.4000 0.6007
Sc 0.5000 0.0000 0.0000

Calculated values
The value obtained for the energy relative to the lowest polymorph listed for this composition is 0.00 eV/f.u. The formation energy is 0.4 eV/f.u.

***

Record 2
BaHg2Sb2 | PBE | relaxed

Unit cell a=7.1981 b=7.1952 c=7.8462 alpha=77.20 beta=77.18 gamma=55.28
Element x y z (fractional)
Ba 0.7500 0.7500 0.2499
Ba 0.2500 0.2500 0.7501
Hg 0.2457 0.7540 0.9999
Hg 0.7452 0.2545 0.4999
Hg 0.7543 0.2460 0.0001
Hg 0.2548 0.7455 0.5001
Sb 0.3630 0.3630 0.2875
Sb 0.8634 0.8634 0.7875
Sb 0.1366 0.1366 0.2125
Sb 0.6370 0.6370 0.7125

Calculated values
Its uncorrected energy is -2.55 eV/atom.

***

Record 3
LaSc2CdO | PBE | relaxed

Unit cell a=4.5889 b=4.5889 c=4.9594 alpha=90.00 beta=90.00 gamma=90.00
Element x y z (fractional)
Sc 0.0000 0.5000 0.0000
Sc 0.5000 0.0000 0.0000
Cd 0.5000 0.5000 0.5000
O 0.0000 0.0000 0.0000
La 0.0000 0.0000 0.5000

Calculated values
Its uncorrected energy is -5.94 eV/atom.

***

Record 4
Ni2PtS4 | PBE | relaxed

Unit cell a=6.9114 b=6.8462 c=6.8462 alpha=59.51 beta=59.68 gamma=59.68
Element x y z (fractional)
Ni 0.1224 0.1276 0.6276
Ni 0.5000 0.0000 0.0000
Ni 0.5000 0.5000 0.5000
Ni 0.8776 0.8724 0.3724
Pt 0.0000 0.5000 0.0000
Pt 0.5000 0.5000 0.0000
S 0.2622 0.2450 0.2306
S 0.2622 0.7306 0.7450
S 0.2679 0.2515 0.7515
S 0.7291 0.2515 0.7515
S 0.2709 0.7485 0.2485
S 0.7378 0.2694 0.2550
S 0.7321 0.7485 0.2485
S 0.7378 0.7550 0.7694

Calculated values
Its uncorrected energy is -5.23 eV/atom.

***

Calculated volume in order - 305.7 323.4 104.4 227.1 Å³/cell